[1]
Entry from the Alexandria database: RbIn2SnIr after structural relaxation (PBE-GGA).

The space group is P4/mmm (No. 123) and the conventional cell measures 5.271, 5.271 and 5.291 Å, with angles of 90.00, 90.00 and 90.00 degrees. The distinct sites, in fractional coordinates, are Rb at (0.000, 0.000, 0.000), In at (0.000, 0.500, 0.500), Sn at (0.500, 0.500, 0.000) and Ir at (0.500, 0.500, 0.500).

The value obtained for the volume is 29.41 Å³ per atom. The calculation puts the size of the total moment at 0.000 μB per atom. The electronic total energy comes out at -19.568 eV for the cell shown.


[2]
Entry from the Alexandria database: TiSi2Pd2 after structural relaxation (PBE-GGA).

The space group is P4/mbm (No. 127) and the conventional cell measures 7.180, 7.180 and 2.863 Å, with angles of 90.00, 90.00 and 90.00 degrees. The distinct sites, in fractional coordinates, are Ti at (0.000, 0.000, 0.000), Si at (0.153, 0.347, 0.000) and Pd at (0.145, 0.645, 0.500).

The value obtained for the volume is 14.76 Å³ per atom. The calculation puts the size of the total moment at 0.000 μB per atom. As for the uncorrected formation energy: -471 meV per atom. The electronic total energy comes out at -62.967 eV for the cell shown.


[3]
Entry from the Alexandria database: SrTlTe2N after structural relaxation (PBE-GGA).

The space group is P4/mmm (No. 123) and the conventional cell measures 6.395, 6.395 and 4.951 Å, with angles of 90.00, 90.00 and 90.00 degrees. The distinct sites, in fractional coordinates, are Sr at (0.000, 0.000, 0.000), Tl at (0.500, 0.500, 0.500), Te at (0.000, 0.500, 0.000) and N at (0.000, 0.000, 0.500).

The offset from the most stable computed form comes out at 205 meV/atom. The value obtained for the volume is 40.49 Å³ per atom. The calculation puts the size of the total moment at 0.782 μB per atom. As for the uncorrected formation energy: 465 meV per atom. The electronic total energy comes out at -16.333 eV for the cell shown.


[4]
Entry from the Alexandria database: YAl2Pd after structural relaxation (PBE-GGA).

The space group is R-3m (No. 166, hexagonal axes) and the conventional cell measures 4.2662, 4.2662 and 15.3125 Å, with angles of 90.00, 90.00 and 120.00 degrees. The distinct sites, in fractional coordinates, are Y at (0.0000, 0.0000, 0.0000), Al at (0.0000, 0.0000, 0.2107) and Pd at (0.0000, 0.0000, 0.5000).

The value obtained for the volume is 20.11 Å³ per atom. The calculation puts the size of the total moment at 0.000 μB per atom. The electronic total energy comes out at -65.596 eV for the cell shown.


[5]
Entry from the Alexandria database: Ho3CdHg3 after structural relaxation (PBE-GGA).

The space group is Imm2 (No. 44) and the conventional cell measures 3.589, 4.843 and 20.466 Å, with angles of 90.00, 90.00 and 90.00 degrees. The distinct sites, in fractional coordinates, are Ho at (0.000, 0.000, 0.000), Ho at (0.000, 0.000, 0.395), Ho at (0.000, 0.500, 0.192), Cd at (0.000, 0.500, 0.766), Hg at (0.000, 0.000, 0.545), Hg at (0.000, 0.000, 0.846) and Hg at (0.000, 0.500, 0.629).

The offset from the most stable computed form comes out at 0 meV/atom. The value obtained for the volume is 25.41 Å³ per atom. The calculation puts the size of the total moment at 0.000 μB per atom. The electronic total energy comes out at -36.267 eV for the cell shown.


[6]
Entry from the Alexandria database: LiSmZn3 after structural relaxation (PBE-GGA).

The space group is Pm-3m (No. 221) and the conventional cell measures 4.544, 4.544 and 4.544 Å, with angles of 90.00, 90.00 and 90.00 degrees. The distinct sites, in fractional coordinates, are Li at (0.000, 0.000, 0.000), Sm at (0.500, 0.500, 0.500) and Zn at (0.000, 0.000, 0.500).

The offset from the most stable computed form comes out at 124 meV/atom. The value obtained for the volume is 18.76 Å³ per atom. The calculation puts the size of the total moment at 0.000 μB per atom. The electronic total energy comes out at -10.900 eV for the cell shown.


[7]
Entry from the Alexandria database: Pm7Nd4Sc after structural relaxation (PBE-GGA).

The space group is C2/m (No. 12) and the conventional cell measures 16.334, 6.033 and 9.527 Å, with angles of 90.00, 117.84 and 90.00 degrees. The distinct sites, in fractional coordinates, are Pm at (0.000, 0.000, 0.000), Pm at (0.067, 0.500, 0.714), Pm at (0.168, 0.500, 0.353), Pm at (0.215, 0.000, 0.891), Nd at (0.089, 0.000, 0.460), Nd at (0.224, 0.000, 0.254) and Sc at (0.000, 0.500, 0.000).

The offset from the most stable computed form comes out at 189 meV/atom. The value obtained for the volume is 34.59 Å³ per atom. The calculation puts the size of the total moment at 0.028 μB per atom. The electronic total energy comes out at -112.074 eV for the cell shown.


[8]
Entry from the Alexandria database: Tm8TlIn2 after structural relaxation (PBE-GGA).

The space group is Immm (No. 71) and the conventional cell measures 5.035, 8.439 and 14.606 Å, with angles of 90.00, 90.00 and 90.00 degrees. The distinct sites, in fractional coordinates, are Tm at (0.000, 0.000, 0.144), Tm at (0.000, 0.215, 0.342), Tm at (0.000, 0.306, 0.000), Tl at (0.000, 0.500, 0.500) and In at (0.000, 0.500, 0.196).

The value obtained for the volume is 28.21 Å³ per atom. The calculation puts the size of the total moment at 0.000 μB per atom. The electronic total energy comes out at -90.654 eV for the cell shown.


[9]
Entry from the Alexandria database: ZnFe2Rh after structural relaxation (PBE-GGA).

The space group is I4/mmm (No. 139) and the conventional cell measures 3.665, 3.665 and 7.790 Å, with angles of 90.00, 90.00 and 90.00 degrees. The distinct sites, in fractional coordinates, are Zn at (0.000, 0.000, 0.000), Fe at (0.000, 0.500, 0.250) and Rh at (0.000, 0.000, 0.500).

The value obtained for the volume is 13.08 Å³ per atom. The calculation puts the size of the total moment at 1.488 μB per atom. The electronic total energy comes out at -51.458 eV for the cell shown.


[10]
Entry from the Alexandria database: Tb2NdSm6Th after structural relaxation (PBE-GGA).

The space group is C2/c (No. 15) and the conventional cell measures 9.312, 15.012 and 9.779 Å, with angles of 90.00, 98.13 and 90.00 degrees. The distinct sites, in fractional coordinates, are Tb at (0.242, 0.046, 0.050), Nd at (0.000, 0.405, 0.250), Sm at (0.067, 0.177, 0.442), Sm at (0.095, 0.392, 0.619), Sm at (0.202, 0.221, 0.816) and Th at (0.000, 0.028, 0.750).

The value obtained for the volume is 33.83 Å³ per atom. The calculation puts the size of the total moment at 0.000 μB per atom. The electronic total energy comes out at -193.163 eV for the cell shown.


[11]
Entry from the Alexandria database: Li3AgCl4 after structural relaxation (PBE-GGA).

The space group is Pmn2_1 (No. 31) and the conventional cell measures 8.055, 7.022 and 6.382 Å, with angles of 90.00, 90.00 and 90.00 degrees. The distinct sites, in fractional coordinates, are Li at (0.000, 0.172, 0.000), Li at (0.249, 0.665, 0.002), Ag at (0.000, 0.836, 0.509), Cl at (0.000, 0.193, 0.627), Cl at (0.000, 0.840, 0.095) and Cl at (0.233, 0.345, 0.128).

The offset from the most stable computed form comes out at 0 meV/atom. The value obtained for the volume is 22.56 Å³ per atom. The calculation puts the size of the total moment at 0.000 μB per atom. As for the uncorrected formation energy: -1482 meV per atom. The electronic total energy comes out at -55.669 eV for the cell shown.


[12]
Entry from the Alexandria database: CaAgAs2 after structural relaxation (PBE-GGA).

The space group is P4/mmm (No. 123) and the conventional cell measures 3.823, 3.823 and 6.023 Å, with angles of 90.00, 90.00 and 90.00 degrees. The distinct sites, in fractional coordinates, are Ca at (0.000, 0.000, 0.000), Ag at (0.000, 0.000, 0.500) and As at (0.500, 0.500, 0.290).

The value obtained for the volume is 22.01 Å³ per atom. The calculation puts the size of the total moment at 0.000 μB per atom. The electronic total energy comes out at -15.194 eV for the cell shown.